Density functional theory data (PBE) for a relaxed structure of Ce2Tm4Pb3O2.

POSCAR file:
```
Ce2Tm4Pb3O2
1.0
-2.3228 2.3228 12.7860
2.3228 -2.3228 12.7860
2.3228 2.3228 -12.7860
Ce Tm Pb O
2 4 3 2
direct
0.1955 0.1955 0.0000
0.8045 0.8045 0.0000
0.0824 0.5824 0.5000
0.4176 0.9176 0.5000
0.5824 0.0824 0.5000
0.9176 0.4176 0.5000
0.3269 0.3269 0.0000
0.5000 0.5000 0.0000
0.6731 0.6731 0.0000
0.0930 0.0930 0.0000
0.9070 0.9070 0.0000
```

Output
The value obtained for the uncorrected formation energy is -1.3478 eV/atom. The calculation puts the size of the total moment at 3.0 μB per formula unit.



Density functional theory data (PBE) for a relaxed structure of Ce4Tm2Pb3O2.

POSCAR file:
```
Ce4Tm2Pb3O2
1.0
-2.3644 2.3644 12.9715
2.3644 -2.3644 12.9715
2.3644 2.3644 -12.9715
Ce Tm Pb O
4 2 3 2
direct
0.0864 0.5864 0.5000
0.4136 0.9136 0.5000
0.5864 0.0864 0.5000
0.9136 0.4136 0.5000
0.1955 0.1955 0.0000
0.8045 0.8045 0.0000
0.3172 0.3172 0.0000
0.5000 0.5000 0.0000
0.6828 0.6828 0.0000
0.1084 0.1084 0.0000
0.8916 0.8916 0.0000
```

Output
The value obtained for the uncorrected formation energy is -1.2456 eV/atom. The calculation puts the size of the total moment at 3.8 μB per formula unit.